Record 1
Compound: Hf2Tl2Os
Source: the Alexandria database
Functional: PBE
Structure: optimized geometry

extended XYZ file:
```
5
Lattice="3.964 0.000 0.000 0.000 3.964 0.000 1.982 1.982 7.155" Properties=species:S:1:pos:R:3 pbc="T T T"
Hf 3.964 1.982 3.577
Hf 1.982 3.964 3.577
Tl 1.982 1.982 1.344
Tl 3.964 3.964 5.811
Os 0.000 0.000 0.000
```

The offset from the most stable computed form is 657.7 meV/atom. The density comes out at 14.121 g/cm3.

---

Record 2
Compound: Hf2TlOs
Source: the Alexandria database
Functional: PBE
Structure: optimized geometry

extended XYZ file:
```
4
Lattice="0.000 3.402 3.402 3.402 0.000 3.402 3.402 3.402 0.000" Properties=species:S:1:pos:R:3 pbc="T T T"
Hf 1.701 1.701 1.701
Hf 5.103 5.103 5.103
Tl 3.402 3.402 3.402
Os 0.000 0.000 0.000
```

The offset from the most stable computed form is 262.9 meV/atom. The density comes out at 15.853 g/cm3.

---

Record 3
Compound: Hf4TlOs
Source: the Alexandria database
Functional: PBE
Structure: optimized geometry

extended XYZ file:
```
6
Lattice="5.511 0.000 0.000 0.000 5.511 0.000 -2.756 -2.756 4.422" Properties=species:S:1:pos:R:3 pbc="T T T"
Hf 2.756 0.000 3.765
Hf 2.756 2.756 2.675
Hf 2.756 0.000 0.656
Hf 0.000 0.000 1.746
Tl 0.000 2.756 2.211
Os 2.756 2.756 0.000
```

The density comes out at 13.707 g/cm3.

---

Record 4
Compound: HfTlV2Os
Source: the Alexandria database
Functional: PBE
Structure: optimized geometry

extended XYZ file:
```
5
Lattice="4.674 0.000 0.000 0.000 4.674 0.000 0.000 0.000 4.869" Properties=species:S:1:pos:R:3 pbc="T T T"
Hf 0.000 0.000 0.000
Tl 2.337 2.337 2.434
Os 0.000 0.000 2.434
V 0.000 2.337 0.000
V 2.337 0.000 0.000
```

The density comes out at 10.540 g/cm3.

---

Record 5
Compound: HfZrTlOs2
Source: the Alexandria database
Functional: PBE
Structure: optimized geometry

extended XYZ file:
```
5
Lattice="4.870 0.000 0.000 0.000 5.181 0.000 0.000 0.000 4.870" Properties=species:S:1:pos:R:3 pbc="T T T"
Hf 0.000 2.591 0.000
Tl 2.435 2.591 2.435
Os 0.000 0.000 2.435
Os 2.435 0.000 0.000
Zr 0.000 0.000 0.000
```

The density comes out at 11.548 g/cm3.

---

Record 6
Compound: TmHfOs2
Source: the Alexandria database
Functional: PBE
Structure: optimized geometry

extended XYZ file:
```
4
Lattice="3.290 0.000 0.000 0.000 3.290 0.000 0.000 0.000 6.681" Properties=species:S:1:pos:R:3 pbc="T T T"
Hf 1.645 1.645 0.000
Tm 1.645 1.645 3.341
Os 0.000 0.000 5.117
Os 0.000 0.000 1.564
```

The offset from the most stable computed form is 0.0 meV/atom. The density comes out at 16.712 g/cm3.

---

Record 7
Compound: TmHfOs4
Source: the Alexandria database
Functional: PBE
Structure: optimized geometry

extended XYZ file:
```
6
Lattice="5.272 0.000 0.000 2.636 4.566 0.000 2.636 1.522 4.304" Properties=species:S:1:pos:R:3 pbc="T T T"
Hf 0.000 0.000 0.000
Tm 2.636 1.522 1.076
Os 5.272 3.044 0.537
Os 5.272 1.521 2.691
Os 6.591 3.805 2.691
Os 3.953 3.805 2.691
```

The density comes out at 17.764 g/cm3.

---

Record 8
Compound: TmHf2Os3
Source: the Alexandria database
Functional: PBE
Structure: optimized geometry

extended XYZ file:
```
6
Lattice="3.279 0.000 0.000 0.000 3.279 0.000 0.000 0.000 9.914" Properties=species:S:1:pos:R:3 pbc="T T T"
Tm 1.640 1.640 4.957
Hf 1.640 1.640 8.275
Hf 1.640 1.640 1.639
Os 0.000 0.000 0.000
Os 0.000 0.000 6.742
Os 0.000 0.000 3.172
```

The density comes out at 17.082 g/cm3.

---

Record 9
Compound: TmHf2Os
Source: the Alexandria database
Functional: PBE
Structure: optimized geometry

extended XYZ file:
```
4
Lattice="-0.090 -1.939 2.620 -0.376 -2.597 -1.935 8.037 -0.882 -0.377" Properties=species:S:1:pos:R:3 pbc="T T T"
Hf 6.443 -0.707 -0.302
Hf 1.594 -0.175 -0.075
Tm 3.786 -2.709 0.154
Os -0.233 -2.268 0.342
```

The offset from the most stable computed form is 0.0 meV/atom. The density comes out at 13.822 g/cm3.

---

Record 10
Compound: TmHf2Os
Source: the Alexandria database
Functional: PBE
Structure: optimized geometry

extended XYZ file:
```
4
Lattice="4.820 0.000 0.000 2.410 4.175 0.000 2.410 1.392 3.936" Properties=species:S:1:pos:R:3 pbc="T T T"
Hf 2.410 1.392 0.984
Hf 7.231 4.175 2.953
Tm 4.820 2.783 1.968
Os 0.000 0.000 0.000
```

The offset from the most stable computed form is 131.4 meV/atom. The density comes out at 15.013 g/cm3.

---

Record 11
Compound: TmHfOs2
Source: the Alexandria database
Functional: PBE
Structure: optimized geometry

extended XYZ file:
```
4
Lattice="-0.990 2.921 -3.499 -4.049 2.316 -0.030 -0.059 4.603 0.750" Properties=species:S:1:pos:R:3 pbc="T T T"
Hf -2.549 4.920 -1.389
Tm 0.000 0.000 0.000
Os -1.274 2.460 -0.695
Os -3.823 7.381 -2.084
```

The offset from the most stable computed form is 23.9 meV/atom. The density comes out at 16.843 g/cm3.

---

Record 12
Compound: HfUOs
Source: the Alexandria database
Functional: PBE
Structure: optimized geometry

extended XYZ file:
```
3
Lattice="3.463 0.000 0.000 0.000 3.463 0.000 -1.732 -1.732 4.953" Properties=species:S:1:pos:R:3 pbc="T T T"
Hf 1.732 1.732 4.518
Os 1.732 1.732 1.315
U 0.000 0.000 2.588
```

The offset from the most stable computed form is 0.0 meV/atom. The density comes out at 16.957 g/cm3.

---

Record 13
Compound: HfUOs4
Source: the Alexandria database
Functional: PBE
Structure: optimized geometry

extended XYZ file:
```
6
Lattice="5.289 0.000 0.000 2.644 4.580 0.000 2.644 1.527 4.318" Properties=species:S:1:pos:R:3 pbc="T T T"
Os 5.289 3.053 0.535
Os 5.289 1.522 2.700
Os 6.615 3.819 2.700
Os 3.963 3.819 2.700
Hf 0.000 0.000 0.000
U 2.644 1.527 1.080
```

The density comes out at 18.692 g/cm3.

---

Record 14
Compound: HfUOs
Source: the Alexandria database
Functional: PBE
Structure: optimized geometry

extended XYZ file:
```
6
Lattice="-5.615 -2.001 -0.144 0.346 -1.176 2.830 0.448 7.526 1.391" Properties=species:S:1:pos:R:3 pbc="T T T"
Hf -3.323 0.400 0.573
Hf -1.497 3.950 3.504
Os -4.135 -2.123 1.305
Os -1.134 -1.054 1.382
U -0.576 1.448 2.352
U -4.244 2.902 1.725
```

The offset from the most stable computed form is 293.4 meV/atom. The density comes out at 15.897 g/cm3.

---

Record 15
Compound: HfUOs2
Source: the Alexandria database
Functional: PBE
Structure: optimized geometry

extended XYZ file:
```
4
Lattice="-1.424 2.337 -1.628 -0.868 -2.089 -2.240 -6.111 -1.258 3.542" Properties=species:S:1:pos:R:3 pbc="T T T"
Os -4.690 -0.966 2.718
Os -1.421 -0.293 0.823
Hf -1.146 0.124 -1.934
U -4.202 -0.506 -0.163
```

The offset from the most stable computed form is 0.0 meV/atom. The density comes out at 18.196 g/cm3.

---

Record 16
Compound: HfV2Os
Source: the Alexandria database
Functional: PBE
Structure: optimized geometry

extended XYZ file:
```
4
Lattice="3.099 0.000 0.000 0.000 4.430 0.000 0.000 0.000 4.430" Properties=species:S:1:pos:R:3 pbc="T T T"
Hf 1.550 0.000 0.000
Os 1.550 2.215 2.215
V 0.000 0.000 2.215
V 0.000 2.215 0.000
```

The offset from the most stable computed form is 55.4 meV/atom. The density comes out at 12.846 g/cm3.

---

Record 17
Compound: Hf5V12Os3
Source: the Alexandria database
Functional: PBE
Structure: optimized geometry

extended XYZ file:
```
80
Lattice="12.953 0.000 0.000 -4.318 12.212 0.000 -4.318 -6.106 10.576" Properties=species:S:1:pos:R:3 pbc="T T T"
Os 7.556 3.816 1.322
Os 7.556 8.396 1.322
Os -1.079 5.343 6.610
Os 1.079 -0.763 3.966
Os 9.715 0.000 2.644
Os 1.079 6.106 2.644
Os 3.238 0.000 7.932
Os -5.397 6.106 7.932
Os 3.238 6.869 6.610
Os 5.397 0.763 3.966
Os -3.238 -2.290 9.254
Os -3.238 2.290 9.254
Hf -1.079 3.053 2.644
Hf -2.159 6.106 0.000
Hf 0.000 0.000 0.000
Hf 3.238 2.290 1.322
Hf 4.318 -3.053 5.288
Hf 4.318 6.106 0.000
Hf -3.238 6.869 3.966
Hf 5.397 -3.816 9.254
Hf 5.397 5.343 3.966
Hf 1.079 -3.053 7.932
Hf 3.238 9.159 2.644
Hf 2.159 3.053 5.288
Hf 6.477 0.000 0.000
Hf -2.159 -3.053 5.288
Hf -1.079 0.763 6.610
Hf -1.079 9.923 1.322
Hf -4.318 3.053 5.288
Hf 7.556 -0.763 6.610
Hf 1.079 3.816 9.254
Hf 5.397 3.053 7.932
V 8.572 1.335 0.982
V 0.063 4.571 4.623
V 9.162 2.645 2.701
V 5.950 2.036 1.647
V 1.598 5.114 6.894
V 8.665 5.948 1.606
V -0.526 6.715 4.348
V -3.791 10.176 1.647
V 0.560 7.099 6.894
V 6.447 6.265 1.606
V 6.540 2.871 3.641
V 6.540 10.877 0.982
V -3.757 5.474 6.270
V 2.188 4.795 0.940
V -4.381 9.342 3.641
V 2.222 -1.535 5.954
V -0.560 0.360 2.587
V 2.188 7.576 0.665
V 5.950 9.568 2.701
V -0.029 4.637 0.665
V -2.719 6.466 7.989
V 2.685 5.498 4.348
V 5.916 6.739 6.270
V 4.347 -1.311 9.636
V 1.633 0.608 6.228
V -1.598 -0.632 4.306
V -0.029 7.417 0.940
V -1.633 -3.461 7.875
V 7.037 -0.360 2.587
V 4.347 1.470 9.911
V 2.129 -1.470 9.911
V 2.095 7.641 4.623
V 4.878 5.746 7.989
V 8.699 -3.236 6.935
V 8.075 0.632 4.306
V -2.222 -4.771 9.595
V 2.129 1.311 9.636
V 3.757 -0.993 3.683
V -2.129 -0.158 8.971
V -2.222 3.236 6.935
V 8.109 -4.070 8.929
V 4.844 -0.608 6.228
V -1.633 4.070 8.929
V -4.347 0.158 8.971
V 2.719 0.993 3.683
V -4.844 3.461 7.875
V 4.254 1.535 5.954
V -4.254 4.771 9.595
```

The density comes out at 8.236 g/cm3.

---

Record 18
Compound: Hf2VOs2
Source: the Alexandria database
Functional: PBE
Structure: optimized geometry

extended XYZ file:
```
10
Lattice="-2.387 -2.497 -5.378 1.791 -5.830 1.912 -3.884 -0.544 1.976" Properties=species:S:1:pos:R:3 pbc="T T T"
Os 0.681 -5.913 -0.291
Os -0.906 -5.879 -3.401
Os -1.277 -2.415 -3.175
Os 0.310 -2.448 -0.065
Hf -1.154 -4.690 1.319
Hf -2.098 -6.750 -1.104
Hf -3.326 -4.182 -2.808
Hf -2.381 -2.122 -0.385
V 0.000 0.000 0.000
V -0.298 -4.164 -1.733
```

The density comes out at 14.593 g/cm3.

---

Record 19
Compound: HfV2Os
Source: the Alexandria database
Functional: PBE
Structure: optimized geometry

extended XYZ file:
```
8
Lattice="-5.544 3.119 -3.293 -3.309 -6.338 -0.431 -5.586 -1.166 0.509" Properties=species:S:1:pos:R:3 pbc="T T T"
Os 0.000 0.000 0.000
Os -7.778 0.172 -2.323
Hf -4.427 -1.610 -1.862
Hf -6.661 -4.557 -0.892
V -5.502 0.993 -2.120
V -3.931 -3.991 -0.419
V -7.374 -1.822 -0.997
V -12.072 -3.951 -2.895
```

The offset from the most stable computed form is 490.5 meV/atom. The density comes out at 11.380 g/cm3.

---

Record 20
Compound: HfV4Os
Source: the Alexandria database
Functional: PBE
Structure: optimized geometry

extended XYZ file:
```
6
Lattice="-4.307 0.686 -2.446 -2.023 -3.760 -2.603 -4.181 -2.206 1.632" Properties=species:S:1:pos:R:3 pbc="T T T"
Hf 0.000 0.000 0.000
Os -2.628 -1.320 -0.854
V -4.480 -2.198 -2.950
V -5.557 -1.422 -0.835
V -6.567 -3.299 -2.135
V -4.417 -3.641 -0.914
```

The density comes out at 10.752 g/cm3.

---

Total DFT energy (no corrections) for the records above, in order: -6.0762 -8.3628 -8.4648 -6.6671 -6.8916 -9.6779 -10.2074 -10.2366 -9.0730 -8.9416 -9.6541 -10.8274 -11.1792 -10.5340 -11.2451 -9.9694 -8.4341 -10.5669 -9.5342 -9.7429 eV/atom
Calculated formation energy for the records above, in order: 1098 13 437 1690 1774 -457 -317 -559 -171 -40 -433 -4 -152 290 -320 -114 1210 -270 321 -133 meV/atom
Spin magnetization for the records above, in order: 0.1540 0.0000 0.0000 0.0001 0.2057 0.0000 0.0000 0.0000 0.3197 0.0000 0.0000 0.0008 0.3470 0.8569 0.3665 0.0001 0.4461 0.0000 0.0000 0.0000 μB per atom